LuZrCoSb PBE relaxed; distance to the lowest polymorph of the same formula = 0.00 eV per formula unit
1.0
0.000 3.390 3.390
3.390 0.000 3.390
3.390 3.390 0.000
Lu Zr Co Sb
1 1 1 1
direct
0.000 0.000 0.000
0.250 0.250 0.250
0.750 0.750 0.750
0.500 0.500 0.500

***

Lu3BiN2 PBE relaxed; distance to the lowest polymorph of the same formula = 0.00 eV per formula unit
1.0
3.453 0.000 0.000
-1.727 2.991 0.000
0.000 0.000 20.213
Lu Bi N
6 2 4
direct
0.000 0.000 0.000
0.000 0.000 0.500
0.333 0.667 0.127
0.333 0.667 0.373
0.667 0.333 0.627
0.667 0.333 0.873
0.000 0.000 0.250
0.000 0.000 0.750
0.333 0.667 0.569
0.333 0.667 0.931
0.667 0.333 0.069
0.667 0.333 0.431

***

TaBiAsO PBE relaxed; distance to the lowest polymorph of the same formula = 1.39 eV per formula unit
1.0
4.301 0.000 0.000
0.000 4.301 0.000
0.000 0.000 9.868
Ta Bi As O
2 2 2 2
direct
0.250 0.250 0.019
0.750 0.750 0.981
0.250 0.750 0.500
0.750 0.250 0.500
0.250 0.250 0.261
0.750 0.750 0.739
0.250 0.750 0.000
0.750 0.250 0.000

***

SmYSc2As2 PBE relaxed; final energy = -39.3 eV per formula unit
1.0
-2.089 2.089 7.819
2.089 -2.089 7.819
2.089 2.089 -7.819
Sm Y Sc As
1 1 2 2
direct
0.000 0.000 0.000
0.355 0.355 0.000
0.178 0.678 0.500
0.678 0.178 0.500
0.550 0.550 0.000
0.805 0.805 0.000

***

DyErSi PBE relaxed; distance to the lowest polymorph of the same formula = 0.00 eV per formula unit
1.0
0.000 3.404 3.404
3.404 0.000 3.404
3.404 3.404 0.000
Dy Er Si
1 1 1
direct
0.000 0.000 0.000
0.500 0.500 0.500
0.250 0.250 0.250

***

CsUBr6 PBE relaxed; final energy = -33.5 eV per formula unit
1.0
3.842 2.218 7.016
-3.842 2.218 7.016
0.000 -4.437 7.016
Cs U Br
1 1 6
direct
0.000 0.000 0.000
0.500 0.500 0.500
0.096 0.590 0.590
0.410 0.410 0.904
0.410 0.904 0.410
0.590 0.096 0.590
0.590 0.590 0.096
0.904 0.410 0.410

***

BeFeTcB PBE relaxed; distance to the lowest polymorph of the same formula = 1.29 eV per formula unit
1.0
0.000 2.703 2.703
2.703 0.000 2.703
2.703 2.703 0.000
Be Fe Tc B
1 1 1 1
direct
0.000 0.000 0.000
0.500 0.500 0.500
0.750 0.750 0.750
0.250 0.250 0.250

***

PmInCo PBE relaxed; distance to the lowest polymorph of the same formula = 2.31 eV per formula unit
1.0
0.000 3.412 3.412
3.412 0.000 3.412
3.412 3.412 0.000
Pm In Co
1 1 1
direct
0.000 0.000 0.000
0.250 0.250 0.250
0.750 0.750 0.750